VASP calculation (PBE) on a relaxed Sm3YCo8 crystal.

Calculated values
The final energy comes out at -78.82 eV/f.u.

a b c (Å): 8.876 8.876 8.876
angles (deg): 33.54 33.54 33.54
Sites, in units of the cell vectors:
Sm 0.000 0.000 0.000
Sm 0.125 0.125 0.125
Sm 0.500 0.500 0.500
Y 0.625 0.625 0.625
Co 0.060 0.563 0.563
Co 0.062 0.062 0.564
Co 0.062 0.564 0.062
Co 0.312 0.312 0.312
Co 0.563 0.060 0.563
Co 0.563 0.563 0.060
Co 0.564 0.062 0.062
Co 0.812 0.812 0.812